10
Lattice="4.123 0.000 0.000 0.000 4.123 0.000 0.000 0.000 9.813" Properties=species:S:1:pos:R:3 comment="PBE PaSi2IrOs, optimized geometry" raw_formation_energy_mev_per_atom=-845 volume_a3_per_atom=16.685 sg="I-4m2 (119)" total_energy_ev_per_atom=-8.931 n_ef_per_ev_fu=3.40 pbc="T T T"
Pa 0.000 0.000 0.000
Pa 2.062 2.062 4.907
Si 0.000 0.000 3.710
Si 0.000 0.000 6.104
Si 2.062 2.062 1.197
Si 2.062 2.062 8.616
Ir 0.000 2.062 7.360
Ir 2.062 0.000 2.453
Os 0.000 2.062 2.453
Os 2.062 0.000 7.360